Record 1
CdGaSb2 after structural relaxation. Source: OQMD, functional PBE-GGA.

Output
* energy: -2.89 eV per atom
* crystal system: cubic
* V: 400.39 Å³/cell

abc: 7.3705 7.3705 7.3705
angles: 90.00 90.00 90.00
Element x y z (fractional)
Cd (0.0000, 0.0000, 0.0000)
Cd (0.0000, 0.5000, 0.5000)
Cd (0.5000, 0.0000, 0.5000)
Cd (0.5000, 0.5000, 0.0000)
Ga (0.2500, 0.2500, 0.7500)
Ga (0.2500, 0.7500, 0.2500)
Ga (0.7500, 0.2500, 0.2500)
Ga (0.7500, 0.7500, 0.7500)
Sb (0.0000, 0.0000, 0.5000)
Sb (0.0000, 0.5000, 0.0000)
Sb (0.2500, 0.2500, 0.2500)
Sb (0.2500, 0.7500, 0.7500)
Sb (0.5000, 0.0000, 0.0000)
Sb (0.5000, 0.5000, 0.5000)
Sb (0.7500, 0.2500, 0.7500)
Sb (0.7500, 0.7500, 0.2500)



Record 2
ScCd2Ga after structural relaxation. Source: OQMD, functional PBE-GGA.

Output
* energy: -2.99 eV per atom
* crystal system: cubic
* V: 322.42 Å³/cell
* M_tot: 0.000 μB/f.u.

abc: 6.8571 6.8571 6.8571
angles: 90.00 90.00 90.00
Element x y z (fractional)
Sc (0.0000, 0.0000, 0.0000)
Sc (0.0000, 0.5000, 0.5000)
Sc (0.5000, 0.0000, 0.5000)
Sc (0.5000, 0.5000, 0.0000)
Cd (0.0000, 0.0000, 0.5000)
Cd (0.0000, 0.5000, 0.0000)
Cd (0.2500, 0.2500, 0.2500)
Cd (0.2500, 0.7500, 0.7500)
Cd (0.5000, 0.0000, 0.0000)
Cd (0.5000, 0.5000, 0.5000)
Cd (0.7500, 0.2500, 0.7500)
Cd (0.7500, 0.7500, 0.2500)
Ga (0.2500, 0.2500, 0.7500)
Ga (0.2500, 0.7500, 0.2500)
Ga (0.7500, 0.2500, 0.2500)
Ga (0.7500, 0.7500, 0.7500)



Record 3
ScCdGa after structural relaxation. Source: OQMD, functional PBE-GGA.

Output
* energy: -3.80 eV per atom
* crystal system: orthorhombic
* V: 239.37 Å³/cell
* M_tot: 0.017 μB/f.u.

abc: 4.5902 6.5454 7.9672
angles: 90.00 90.00 90.00
Element x y z (fractional)
Sc (0.0000, 0.0000, 0.0000)
Sc (0.0000, 0.5000, 0.0071)
Sc (0.5000, 0.0000, 0.5071)
Sc (0.5000, 0.5000, 0.5000)
Cd (0.0000, 0.2617, 0.6707)
Cd (0.0000, 0.7383, 0.6707)
Cd (0.5000, 0.2383, 0.1707)
Cd (0.5000, 0.7617, 0.1707)
Ga (0.0000, 0.2646, 0.3370)
Ga (0.0000, 0.7354, 0.3370)
Ga (0.5000, 0.2354, 0.8370)
Ga (0.5000, 0.7646, 0.8370)



Record 4
ScCd2Ga2 after structural relaxation. Source: OQMD, functional PBE-GGA.

Output
* energy: -2.96 eV per atom
* crystal system: orthorhombic
* V: 212.48 Å³/cell
* M_tot: 0.008 μB/f.u.

abc: 5.8909 7.9987 4.5094
angles: 90.00 90.00 90.00
Element x y z (fractional)
Sc (0.0000, 0.0000, 0.0000)
Sc (0.5000, 0.5000, 0.0000)
Cd (0.2346, 0.2056, 0.5000)
Cd (0.2654, 0.7056, 0.5000)
Cd (0.7346, 0.2944, 0.5000)
Cd (0.7654, 0.7944, 0.5000)
Ga (0.0095, 0.3498, 0.0000)
Ga (0.4905, 0.8498, 0.0000)
Ga (0.5095, 0.1502, 0.0000)
Ga (0.9905, 0.6502, 0.0000)



Record 5
Sc2ZnCdGa2 after structural relaxation. Source: OQMD, functional PBE-GGA.

Output
* energy: -3.74 eV per atom
* crystal system: monoclinic
* V: 496.62 Å³/cell
* M_tot: 0.001 μB/f.u.

abc: 7.7253 4.4221 14.7378
angles: 90.00 99.47 90.00
Element x y z (fractional)
Sc (0.0000, 0.0000, 0.0000)
Sc (0.0083, 0.5000, 0.4912)
Sc (0.2328, 0.0000, 0.7336)
Sc (0.2450, 0.5000, 0.2391)
Sc (0.4777, 0.0000, 0.4812)
Sc (0.4987, 0.5000, 0.9990)
Sc (0.7410, 0.0000, 0.2339)
Sc (0.7585, 0.5000, 0.7378)
Zn (0.0598, 0.0000, 0.1825)
Zn (0.0597, 0.5000, 0.6740)
Zn (0.3046, 0.5000, 0.4226)
Zn (0.5566, 0.5000, 0.1811)
Cd (0.3071, 0.0000, 0.9256)
Cd (0.5562, 0.0000, 0.6732)
Cd (0.8059, 0.0000, 0.4254)
Cd (0.8094, 0.5000, 0.9283)
Ga (0.1188, 0.5000, 0.8586)
Ga (0.1247, 0.0000, 0.3621)
Ga (0.3605, 0.5000, 0.6075)
Ga (0.3707, 0.0000, 0.1198)
Ga (0.6087, 0.5000, 0.3609)
Ga (0.6204, 0.0000, 0.8636)
Ga (0.8732, 0.5000, 0.1213)
Ga (0.8793, 0.0000, 0.6148)



Record 6
Cd2GaSe3 after structural relaxation. Source: OQMD, functional PBE-GGA.

Output
* energy: -3.05 eV per atom
* crystal system: triclinic
* V: 347.55 Å³/cell

abc: 7.3866 7.4397 7.7942
angles: 79.89 69.15 60.26
Element x y z (fractional)
Cd (0.0000, 0.0000, 0.0000)
Cd (0.1423, 0.7152, 0.4998)
Cd (0.3405, 0.3354, 0.9883)
Cd (0.8184, 0.3797, 0.4882)
Ga (0.4610, 0.0524, 0.5160)
Ga (0.6559, 0.6631, 0.0159)
Se (0.0270, 0.6710, 0.8708)
Se (0.2095, 0.3725, 0.3570)
Se (0.4025, 0.9816, 0.8717)
Se (0.5270, 0.7325, 0.3711)
Se (0.7244, 0.3430, 0.8574)
Se (0.8407, 0.0440, 0.3708)